The following is a DFT calculation (GGA+U) of a relaxed CrRuNF2 crystal. Values from VASP.

Structure (Quantum ESPRESSO input):
```
&SYSTEM
  ibrav = 0, nat = 5, ntyp = 4
/
ATOMIC_SPECIES
Ru 101.07 Ru.upf
N 14.01 N.upf
F 19.00 F.upf
Cr 52.00 Cr.upf
CELL_PARAMETERS angstrom
3.7786 0.0000 0.0000
0.0000 3.7786 0.0000
0.0000 0.0000 4.3250
ATOMIC_POSITIONS crystal
Ru 0.5000 0.5000 0.5000
N 0.0000 0.0000 0.5000
F 0.0000 0.5000 0.0000
F 0.5000 0.0000 0.0000
Cr 0.0000 0.0000 0.0000
```

Values from the calculation:
SG ... P4/mmm (123)
Energy ... -5.998 eV/atom
Polymorph energy (0 for the lowest one) ... 227 meV/atom
Crystal system ... tetragonal